Entry 1:
Computed, not measured: a relaxed YAu crystal at the PBE level of DFT.

Calculated values
Magnetization   0.000 μB/f.u.
Space-group type   Imma
E   -5.531 eV per atom

Cell lengths 3.6972, 4.7806, 10.6877 Å; angles 90.00, 90.00, 90.00 degrees
Closest atoms and distances in Å follow each position.
Fractional coordinates of all 8 atoms:
1 Y 0.0000 0.2500 0.1100  6 Au 3.04-3.24, 2 Y 3.35
2 Y 0.0000 0.7500 0.8900  6 Au 3.04-3.24, 2 Y 3.35
3 Y 0.5000 0.2500 0.3900  6 Au 3.04-3.24, 2 Y 3.35
4 Y 0.5000 0.7500 0.6100  6 Au 3.04-3.24, 2 Y 3.35
5 Au 0.0000 0.2500 0.6394  2 Au 3.00, 6 Y 3.04-3.24
6 Au 0.0000 0.7500 0.3606  2 Au 3.00, 6 Y 3.04-3.24
7 Au 0.5000 0.2500 0.8606  2 Au 3.00, 6 Y 3.04-3.24
8 Au 0.5000 0.7500 0.1394  2 Au 3.00, 6 Y 3.04-3.24

=====

Entry 2:
Computed, not measured: a relaxed Y3Au crystal at the PBE level of DFT.

Calculated values
Magnetization   0.000 μB/f.u.
Space-group type   Pnma
E   -6.129 eV per atom

Cell lengths 7.0134, 9.8070, 6.6826 Å; angles 90.00, 90.00, 90.00 degrees
Closest atoms and distances in Å follow each position.
Fractional coordinates of all 16 atoms:
1 Y 0.0147 0.2500 0.1200  2 Au 2.91-2.98
2 Y 0.1951 0.0557 0.6932  2 Au 2.94-3.01
3 Y 0.1951 0.4443 0.6932  2 Au 2.94-3.01
4 Y 0.3049 0.5557 0.1932  2 Au 2.94-3.01
5 Y 0.3049 0.9443 0.1932  2 Au 2.94-3.01
6 Y 0.4853 0.7500 0.6200  2 Au 2.91-2.98
7 Y 0.5147 0.2500 0.3800  2 Au 2.91-2.98
8 Y 0.6951 0.0557 0.8068  2 Au 2.94-3.01
9 Y 0.6951 0.4443 0.8068  2 Au 2.94-3.01
10 Y 0.8049 0.5557 0.3068  2 Au 2.94-3.01
11 Y 0.8049 0.9443 0.3068  2 Au 2.94-3.01
12 Y 0.9853 0.7500 0.8800  2 Au 2.91-2.98
13 Au 0.0900 0.7500 0.4582  6 Y 2.91-3.01
14 Au 0.4100 0.2500 0.9582  6 Y 2.91-3.01
15 Au 0.5900 0.7500 0.0418  6 Y 2.91-3.01
16 Au 0.9100 0.2500 0.5418  6 Y 2.91-3.01

=====

Entry 3:
Computed, not measured: a relaxed Y3Au crystal at the PBE level of DFT.

Calculated values
Magnetization   0.000 μB/f.u.
Space-group type   P6_3/mmc
E   -5.944 eV per atom

Cell lengths 6.8643, 6.8643, 5.2352 Å; angles 90.00, 90.00, 120.00 degrees
Closest atoms and distances in Å follow each position.
Fractional coordinates of all 8 atoms:
1 Y 0.1757 0.3513 0.2500  4 Au 3.22-3.43, 6 Y 3.25-3.35
2 Y 0.1757 0.8243 0.2500  4 Au 3.22-3.43, 6 Y 3.25-3.35
3 Y 0.3513 0.1757 0.7500  4 Au 3.22-3.43, 6 Y 3.25-3.35
4 Y 0.6487 0.8243 0.2500  4 Au 3.22-3.43, 6 Y 3.25-3.35
5 Y 0.8243 0.1757 0.7500  4 Au 3.22-3.43, 6 Y 3.25-3.35
6 Y 0.8243 0.6487 0.7500  4 Au 3.22-3.43, 6 Y 3.25-3.35
7 Au 0.3333 0.6667 0.7500  12 Y 3.22-3.43
8 Au 0.6667 0.3333 0.2500  12 Y 3.22-3.43

=====

Entry 4:
Computed, not measured: a relaxed YAu5 crystal at the PBE level of DFT.

Calculated values
Magnetization   0.000 μB/f.u.
Space-group type   P4/mmm
E   -4.199 eV per atom

Cell lengths 3.6035, 3.6035, 9.1630 Å; angles 90.00, 90.00, 90.00 degrees
Closest atoms and distances in Å follow each position.
Fractional coordinates of all 6 atoms:
1 Y 0.0000 0.0000 0.0000  10 Au 3.04-3.12
2 Au 0.0000 0.0000 0.3403  9 Au 2.93-2.94, 1 Y 3.12
3 Au 0.0000 0.0000 0.6597  9 Au 2.93-2.94, 1 Y 3.12
4 Au 0.5000 0.5000 0.1810  5 Au 2.92-2.94, 4 Y 3.04
5 Au 0.5000 0.5000 0.5000  10 Au 2.92-2.94
6 Au 0.5000 0.5000 0.8190  5 Au 2.92-2.94, 4 Y 3.04

=====

Entry 5:
Computed, not measured: a relaxed YAu crystal at the PBE level of DFT.

Calculated values
Magnetization   0.000 μB/f.u.
Space-group type   P6_3/mmc
E   -5.601 eV per atom

Cell lengths 4.1491, 4.1491, 7.0921 Å; angles 90.00, 90.00, 120.00 degrees
Closest atoms and distances in Å follow each position.
Fractional coordinates of all 4 atoms:
1 Y 0.3333 0.6667 0.2500  6 Au 2.98
2 Y 0.6667 0.3333 0.7500  6 Au 2.98
3 Au 0.0000 0.0000 0.0000  6 Y 2.98
4 Au 0.0000 0.0000 0.5000  6 Y 2.98

=====

Entry 6:
Computed, not measured: a relaxed Y7Au crystal at the PBE level of DFT.

Calculated values
Magnetization   0.000 μB/f.u.
Space-group type   Fm-3m
E   -6.126 eV per atom

Cell lengths 6.9357, 6.9357, 6.9357 Å; angles 60.00, 60.00, 60.00 degrees
Closest atoms and distances in Å follow each position.
Fractional coordinates of all 8 atoms:
1 Y 0.0000 0.0000 0.0000  12 Y 3.47
2 Y 0.0000 0.0000 0.5000  2 Au 3.47, 10 Y 3.47
3 Y 0.0000 0.5000 0.0000  2 Au 3.47, 10 Y 3.47
4 Y 0.0000 0.5000 0.5000  2 Au 3.47, 10 Y 3.47
5 Y 0.5000 0.0000 0.0000  2 Au 3.47, 10 Y 3.47
6 Y 0.5000 0.0000 0.5000  2 Au 3.47, 10 Y 3.47
7 Y 0.5000 0.5000 0.0000  2 Au 3.47, 10 Y 3.47
8 Au 0.5000 0.5000 0.5000  12 Y 3.47

=====

Entry 7:
Computed, not measured: a relaxed Y3Au crystal at the PBE level of DFT.

Calculated values
Magnetization   0.000 μB/f.u.
Space-group type   Pm-3m
E   -5.912 eV per atom

Cell lengths 4.7376, 4.7376, 4.7376 Å; angles 90.00, 90.00, 90.00 degrees
Closest atoms and distances in Å follow each position.
Fractional coordinates of all 4 atoms:
1 Y 0.0000 0.0000 0.5000  8 Y 3.35, 4 Au 3.35
2 Y 0.0000 0.5000 0.0000  8 Y 3.35, 4 Au 3.35
3 Y 0.5000 0.0000 0.0000  8 Y 3.35, 4 Au 3.35
4 Au 0.5000 0.5000 0.5000  12 Y 3.35

=====

Entry 8:
Computed, not measured: a relaxed Y3Au2 crystal at the PBE level of DFT.

Calculated values
Magnetization   0.000 μB/f.u.
Space-group type   P4/mbm
E   -5.898 eV per atom
Excess energy over the best structure of this formula in the dataset   0.000 eV/atom

Cell lengths 8.1815, 8.1815, 3.8230 Å; angles 90.00, 90.00, 90.00 degrees
Closest atoms and distances in Å follow each position.
Fractional coordinates of all 10 atoms:
1 Y 0.0000 0.0000 0.0000  4 Au 3.19
2 Y 0.1621 0.3379 0.5000  6 Au 3.04-3.09
3 Y 0.3379 0.8379 0.5000  6 Au 3.04-3.09
4 Y 0.5000 0.5000 0.0000  4 Au 3.19
5 Y 0.6621 0.1621 0.5000  6 Au 3.04-3.09
6 Y 0.8379 0.6621 0.5000  6 Au 3.04-3.09
7 Au 0.1334 0.6334 0.0000  8 Y 3.04-3.19, 1 Au 3.09
8 Au 0.3666 0.1334 0.0000  8 Y 3.04-3.19, 1 Au 3.09
9 Au 0.6334 0.8666 0.0000  8 Y 3.04-3.19, 1 Au 3.09
10 Au 0.8666 0.3666 0.0000  8 Y 3.04-3.19, 1 Au 3.09